First-principles (PBE) data for a relaxed Ta2I2F crystal, as listed in Alexandria via LeMat-Bulk.

The space group is I4/mmm (No. 139) and the conventional cell measures 5.6143, 5.6143 and 7.3385 Å, with angles of 90.00, 90.00 and 90.00 degrees. The inequivalent atoms are Ta at (0.0000, 0.0000, 0.1669), I at (0.0000, 0.5000, 0.2500) and F at (0.0000, 0.0000, 0.5000).

First-principles (PBE) data for a relaxed Mn2WCl crystal, as listed in Alexandria via LeMat-Bulk.

The space group is Immm (No. 71) and the conventional cell measures 2.7609, 4.3134 and 8.4438 Å, with angles of 90.00, 90.00 and 90.00 degrees. The inequivalent atoms are Mn at (0.0000, 0.0000, 0.2257), W at (0.0000, 0.5000, 0.0000) and Cl at (0.0000, 0.5000, 0.5000).

| no. | DOS(E_F) (states/eV per cell) | energy above the most stable polymorph in this dataset (eV/atom) | raw total energy (eV for the cell shown) |
| --- | --- | --- | --- |
| 1 | 11.17 | 0.000 | -56.46 |
| 2 | 8.94 | 0.547 | -60.50 |